An optimized crystal structure of BaNa2I2, computed with GGA-PBE.

Unit cell a=11.4589 b=11.4589 c=11.4589 alpha=157.56 beta=157.56 gamma=31.95
Fractional coordinates of all 5 atoms:
Ba  0.0000  0.0000  0.0000
Na  0.2500  0.7500  0.5000
Na  0.7500  0.2500  0.5000
I  0.4123  0.4123  0.0000
I  0.5877  0.5877  0.0000

- Formation energy from raw total energies: -0.8796 eV/atom
- Relative energy among the computed polymorphs: 0.0 kJ per mole of atoms


An optimized crystal structure of Fe2PdW, computed with GGA-PBE.

Unit cell a=3.8238 b=3.8238 c=3.5893 alpha=90.00 beta=90.00 gamma=90.00
Fractional coordinates of all 4 atoms:
Fe  0.0000  0.5000  0.0000
Fe  0.5000  0.0000  0.0000
Pd  0.0000  0.0000  0.5000
W  0.5000  0.5000  0.5000

- Formation energy: 0.112 eV per atom
- Relative energy among the computed polymorphs: 0.0 kJ per mole of atoms


An optimized crystal structure of Ni2HgAu2, computed with GGA-PBE.

Unit cell a=6.8922 b=6.8922 c=3.4437 alpha=90.00 beta=90.00 gamma=90.00
Fractional coordinates of all 10 atoms:
Ni  0.1307  0.3693  0.0000
Ni  0.3693  0.8693  0.0000
Ni  0.6307  0.1307  0.0000
Ni  0.8693  0.6307  0.0000
Hg  0.0000  0.0000  0.0000
Hg  0.5000  0.5000  0.0000
Au  0.1606  0.6606  0.5000
Au  0.3394  0.1606  0.5000
Au  0.6606  0.8394  0.5000
Au  0.8394  0.3394  0.5000

- Formation energy: 0.171 eV per atom
- Relative energy among the computed polymorphs: 0.0 kJ per mole of atoms


An optimized crystal structure of Pm2BiPt, computed with GGA-PBE.

Unit cell a=5.3332 b=5.3332 c=5.3332 alpha=60.00 beta=60.00 gamma=60.00
Fractional coordinates of all 4 atoms:
Pm  0.2500  0.2500  0.2500
Pm  0.7500  0.7500  0.7500
Bi  0.0000  0.0000  0.0000
Pt  0.5000  0.5000  0.5000

- Formation energy: -0.758 eV per atom
- Relative energy among the computed polymorphs: 13.3 kJ per mole of atoms


An optimized crystal structure of Sr2Li9Cd, computed with GGA-PBE.

Unit cell a=10.0854 b=10.0854 c=10.0854 alpha=34.98 beta=34.98 gamma=34.98
Fractional coordinates of all 12 atoms:
Sr  0.1315  0.1315  0.1315
Sr  0.8685  0.8685  0.8685
Li  0.0745  0.5779  0.5779
Li  0.3337  0.3337  0.3337
Li  0.4221  0.4221  0.9255
Li  0.4221  0.9255  0.4221
Li  0.5000  0.5000  0.5000
Li  0.5779  0.0745  0.5779
Li  0.5779  0.5779  0.0745
Li  0.6663  0.6663  0.6663
Li  0.9255  0.4221  0.4221
Cd  0.0000  0.0000  0.0000

- Formation energy: 0.034 eV per atom


An optimized crystal structure of La3Zn5Ni6, computed with GGA-PBE.

Unit cell a=8.0193 b=8.0193 c=8.0193 alpha=149.26 beta=110.73 gamma=77.67
Fractional coordinates of all 14 atoms:
La  0.0000  0.0000  0.0000
La  0.3181  0.3181  0.0000
La  0.6819  0.6819  0.0000
Zn  0.0183  0.6811  0.3372
Zn  0.3439  0.6811  0.6628
Zn  0.5000  0.0000  0.5000
Zn  0.6561  0.3189  0.3372
Zn  0.9817  0.3189  0.6628
Ni  0.1672  0.8946  0.2726
Ni  0.2911  0.5000  0.7911
Ni  0.3779  0.1054  0.2726
Ni  0.6221  0.8946  0.7274
Ni  0.7089  0.5000  0.2089
Ni  0.8328  0.1054  0.7274

- Formation energy: -0.363 eV per atom


Repeat the fourth record exactly.
An optimized crystal structure of Pm2BiPt, computed with GGA-PBE.

Unit cell a=5.3332 b=5.3332 c=5.3332 alpha=60.00 beta=60.00 gamma=60.00
Fractional coordinates of all 4 atoms:
Pm  0.2500  0.2500  0.2500
Pm  0.7500  0.7500  0.7500
Bi  0.0000  0.0000  0.0000
Pt  0.5000  0.5000  0.5000

- Formation energy: -0.758 eV per atom
- Relative energy among the computed polymorphs: 13.3 kJ per mole of atoms